The following is a DFT calculation (GGA-PBE) of GdPuInIr after structural relaxation.

Lattice parameters (Å, degrees): 5.1015 5.1015 5.1015 60.00 60.00 60.00
With the nearest neighbours (Å) after each atom.
Fractional positions:
Ir1 0.0000 0.0000 0.0000  4 Pu 3.12, 4 Gd 3.12
Gd1 0.2500 0.2500 0.2500  4 In 3.12, 4 Ir 3.12
In1 0.5000 0.5000 0.5000  4 Gd 3.12, 4 Pu 3.12
Pu1 0.7500 0.7500 0.7500  4 Ir 3.12, 4 In 3.12

- total magnetization (μB/f.u.) = 12.5
- symmetry = F-43m, No. 216
- formation energy from the elements (eV/atom) = -0.3093